A relaxed structure of RbFeSnTe3. Source: the Open Quantum Materials Database, functional PBE.

- mass density (g/cm3) = 4.91
- final energy (eV/atom) = -4.1134

a = 4.465 Å, b = 16.110 Å, c = 12.094 Å
α = 90.00°, β = 90.00°, γ = 90.00°
Space group Cmcm (No. 63)
Asymmetric unit:
1 Rb 0.000 0.239 0.250 [4 per cell]
2 Fe 0.000 0.047 0.750 [4 per cell]
3 Sn 0.000 0.500 0.000 [4 per cell]
4 Te 0.000 0.128 0.568 [8 per cell]
5 Te 0.000 0.451 0.750 [4 per cell]